TlIn2GaTe4 | GGA-PBE | relaxed

Summary:
Calculated total energy in eV/atom: -3.25
Density of states at the Fermi level in states/eV/atom: 0.004

Unit cell a=7.0426 b=7.0426 c=7.0426 alpha=119.70 beta=104.80 gamma=104.42
Fractional positions:
Te: 0.8500 0.4073 0.9082
Tl: 0.0000 0.5000 0.5000
Te: 0.4991 0.9418 0.0918
Te: 0.1500 0.0582 0.5573
Te: 0.5009 0.5927 0.4427
Ga: 0.5000 0.0000 0.5000
In: 0.0000 0.0000 0.0000
In: 0.5000 0.5000 0.0000

***

TlInGaTe4 | GGA-PBE | relaxed

Summary:
Calculated total energy in eV/atom: -3.19
Density of states at the Fermi level in states/eV/atom: 0.213

Unit cell a=7.3249 b=7.1866 c=10.2415 alpha=90.00 beta=102.96 gamma=90.00
Fractional positions:
Tl: 0.1867 0.2500 0.0299
In: 0.3054 0.2500 0.7001
Te: 0.5026 0.7500 0.5126
Te: 0.6266 0.2500 0.9127
Te: 0.0348 0.5232 0.7254
Ga: 0.7858 0.2500 0.7039
Te: 0.3734 0.7500 0.0873
In: 0.6946 0.7500 0.2999
Te: 0.9652 0.4768 0.2746
Te: 0.9652 0.0232 0.2746
Ga: 0.2142 0.7500 0.2961
Te: 0.4974 0.2500 0.4874
Tl: 0.8133 0.7500 0.9701
Te: 0.0348 0.9768 0.7254

***

Tl2InGaTe4 | GGA-PBE | relaxed

Summary:
Calculated total energy in eV/atom: -3.25

Unit cell a=7.1252 b=7.0750 c=7.0750 alpha=75.31 beta=59.76 gamma=59.76
Fractional positions:
Te: 0.0935 0.3470 0.0000
Te: 0.5595 0.0000 0.3470
Ga: 0.5000 0.0000 0.0000
Tl: 0.0000 0.5000 0.5000
In: 0.0000 0.0000 0.0000
Tl: 0.5000 0.5000 0.5000
Te: 0.9065 0.0000 0.6530
Te: 0.4405 0.6530 0.0000

***

TlIn2GaTe4 | GGA-PBE | relaxed

Summary:
Calculated total energy in eV/atom: -3.20
Density of states at the Fermi level in states/eV/atom: 0.356

Unit cell a=4.4089 b=7.8952 c=16.0283 alpha=90.00 beta=90.00 gamma=106.21
Fractional positions:
In: 0.3774 0.7548 0.9396
In: 0.6226 0.2452 0.4396
Ga: 0.1567 0.3134 0.2500
In: 0.6226 0.2452 0.0604
In: 0.3774 0.7548 0.5604
Te: 0.0000 0.0000 0.5000
Tl: 0.1291 0.2581 0.7500
Ga: 0.8433 0.6866 0.7500
Te: 0.2580 0.5161 0.1157
Te: 0.7420 0.4839 0.8843
Te: 0.4490 0.8980 0.7500
Te: 0.7420 0.4839 0.6157
Te: 0.2580 0.5161 0.3843
Tl: 0.8709 0.7419 0.2500
Te: 0.5510 0.1020 0.2500
Te: 0.0000 0.0000 0.0000

***

InGa2TeW | GGA-PBE | relaxed

Summary:
Calculated total energy in eV/atom: -4.28
Density of states at the Fermi level in states/eV/atom: 0.858

Unit cell a=5.0321 b=5.4605 c=5.0321 alpha=90.00 beta=90.00 gamma=90.00
Each line ends with the local moment (μB).
Fractional positions:
W: 0.0000 0.0000 0.0000  1.34
Te: 0.5000 0.5000 0.5000  0.33
Ga: 0.5000 0.0000 0.0000  0.03
Ga: 0.0000 0.0000 0.5000  0.03
In: 0.0000 0.5000 0.0000  0.02

***

ThInGa | GGA-PBE | relaxed

Summary:
DFT formation energy in meV/atom: -294
Density of states at the Fermi level in states/eV/atom: 0.765

Unit cell a=3.3251 b=5.8758 c=7.8280 alpha=90.01 beta=90.00 gamma=90.00
Fractional positions:
In: 0.3011 0.7499 0.7017
Ga: 0.3014 0.4999 0.0271
Ga: 0.3012 0.9999 0.0271
Th: 0.8013 0.7500 0.3256
Th: 0.8012 0.2499 0.7286
In: 0.3012 0.2500 0.3526

***

Number 1: V 262.4 Å³ per cell. Number 2: V 525.4 Å³ per cell. Number 3: V 266.2 Å³ per cell. Number 4: V 535.8 Å³ per cell. Number 5: V 138.3 Å³ per cell. Number 6: V 152.9 Å³ per cell.